The following is a DFT calculation (PBE with a Hubbard U) of a geometry-optimized Li4MnTe3O12 structure.

Summary:
Polymorph energy (0 for the lowest one)   13 meV/atom
Size of the total moment   0.245 μB/atom
Symmetry   P1

a = 5.2079 Å, b = 5.5130 Å, c = 7.6046 Å
α = 85.68°, β = 89.71°, γ = 89.82°
Closest atoms and distances in Å follow each position.
Fractional positions:
Li (0.9871, 0.5023, 0.2249)  3 O 1.93-2.07
Li (0.5066, 0.9840, 0.7684)  4 O 1.98-2.17
Li (0.0037, 0.5324, 0.7737)  5 O 1.97-2.17
Li (0.4909, 0.8579, 0.1632)  3 O 1.94-2.09
Mn (0.9987, 0.9469, 0.9637)  6 O 2.05-2.20
Te (0.0043, 0.9281, 0.4624)  5 O 1.87-2.07
Te (0.4955, 0.4212, 0.9632)  5 O 1.89-2.10
Te (0.5024, 0.4207, 0.4663)  6 O 1.94-2.01
O (0.8752, 0.8988, 0.6931)  1 Te 1.87, 1 Li 2.06
O (0.8093, 0.2343, 0.3865)  2 Te 2.01-2.02, 1 Li 2.07
O (0.6426, 0.4058, 0.7031)  2 Te 1.94-2.12, 1 Li 2.09
O (0.3647, 0.4320, 0.2244)  2 Te 1.97-2.10, 1 Li 2.00
O (0.7994, 0.5957, 0.0114)  1 Te 1.91, 1 Li 1.93
O (0.3207, 0.7252, 0.9116)  1 Te 1.92, 1 Li 1.98, 1 Mn 2.13
O (0.7028, 0.7133, 0.3799)  2 Te 1.99-2.10, 1 Li 2.09
O (0.1243, 0.9095, 0.2311)  1 Te 1.87, 1 Li 2.00
O (0.6537, 0.1115, 0.0110)  1 Te 1.90, 1 Li 1.94, 1 Mn 2.05
O (0.3213, 0.1100, 0.5341)  2 Te 1.99-2.03, 1 Li 2.10
O (0.1988, 0.2586, 0.8906)  1 Te 1.89, 1 Li 1.97, 1 Mn 2.05
O (0.1979, 0.6070, 0.5351)  2 Te 1.98-2.07, 1 Li 2.09